No. 1
A plane-wave DFT calculation with PBE was carried out for a geometry-optimized ZrMn2NbC structure.

Output
Symmetry ... No. 123
Energy ... -0.51045 Ry/atom
Formation energy from the elements ... 221.1 kJ per mole of atoms
Volume ... 21.057 Å³ per atom

Lattice parameters (Å, degrees): 4.417 4.417 5.397 90.00 90.00 90.00
Fractional positions:
Zr 0.000 0.000 0.000
Mn 0.000 0.500 0.500
Mn 0.500 0.000 0.500
Nb 0.000 0.000 0.500
C 0.500 0.500 0.000

=====

No. 2
A plane-wave DFT calculation with PBE was carried out for a geometry-optimized Nd2Mn2C3 structure.

Output
Symmetry ... No. 12
Energy ... -0.59839 Ry/atom
Formation energy from the elements ... -19.9 kJ per mole of atoms
Volume ... 14.197 Å³ per atom

Lattice parameters (Å, degrees): 5.390 5.390 5.697 103.44 103.44 38.28
Fractional positions:
Nd 0.102 0.102 0.316
Nd 0.898 0.898 0.684
Mn 0.340 0.340 0.098
Mn 0.660 0.660 0.902
C 0.200 0.200 0.794
C 0.500 0.500 0.000
C 0.800 0.800 0.206

=====

No. 3
A plane-wave DFT calculation with PBE was carried out for a geometry-optimized NdMn2C2 structure.

Output
Symmetry ... No. 70
Energy ... -0.62535 Ry/atom
Formation energy from the elements ... -19.0 kJ per mole of atoms
Volume ... 12.115 Å³ per atom

Lattice parameters (Å, degrees): 6.272 5.537 5.268 70.92 56.54 52.54
Fractional positions:
Nd 0.125 0.125 0.125
Nd 0.875 0.875 0.875
Mn 0.240 0.240 0.510
Mn 0.490 0.490 0.760
Mn 0.510 0.510 0.240
Mn 0.760 0.760 0.490
C 0.191 0.559 0.191
C 0.441 0.809 0.441
C 0.559 0.191 0.559
C 0.809 0.441 0.809